Density functional theory data (PBE+U) for a relaxed structure of NbWNO2.

Values from the calculation:
The calculation puts the volume at 66.8 Å³/f.u. The calculation puts the magnetic moment at 3.933 μB per cell. The raw total energy is -7.81 eV/atom.

Cell lengths 3.943, 3.943, 4.295 Å; angles 90.00, 90.00, 90.00 degrees
Site moments in Bohr magnetons follow the coordinates.
Element x y z (fractional)
1 N 0.000 0.000 0.500  -0.06
2 Nb 0.000 0.000 0.000  0.02
3 W 0.500 0.500 0.500  3.52
4 O 0.000 0.500 0.000  0.05
5 O 0.500 0.000 0.000  0.05